Record 1
Here is an optimized crystal structure of Gd3Mg3Al2Cu from the Open Quantum Materials Database. Energies are from PBE.

Cell lengths 7.404, 7.404, 4.417 Å; angles 90.00, 90.00, 120.00 degrees
Element x y z (fractional)
Mg  0.761  0.761  0.500
Mg  0.000  0.239  0.500
Mg  0.239  0.000  0.500
Gd  0.000  0.590  0.000
Gd  0.410  0.410  0.000
Gd  0.590  0.000  0.000
Al  0.667  0.333  0.500
Al  0.333  0.667  0.500
Cu  0.000  0.000  0.000

Summary:
Electronic total energy = -32.5 eV for the cell shown

Record 2
Here is an optimized crystal structure of NdGd2Al7Cu2 from the Open Quantum Materials Database. Energies are from PBE.

Cell lengths 9.138, 9.138, 9.138 Å; angles 35.29, 35.29, 35.29 degrees
Element x y z (fractional)
Al  0.582  0.582  0.073
Al  0.927  0.418  0.418
Al  0.582  0.073  0.582
Al  0.418  0.418  0.927
Al  0.500  0.500  0.500
Al  0.418  0.927  0.418
Al  0.073  0.582  0.582
Cu  0.335  0.335  0.335
Cu  0.665  0.665  0.665
Nd  0.000  0.000  0.000
Gd  0.858  0.858  0.858
Gd  0.142  0.142  0.142

Summary:
Electronic total energy = -53.7 eV for the cell shown

Record 3
Here is an optimized crystal structure of NdGdAl4Cu2 from the Open Quantum Materials Database. Energies are from PBE.

Cell lengths 6.938, 5.739, 5.739 Å; angles 42.18, 90.00, 90.00 degrees
Element x y z (fractional)
Al  0.807  0.158  0.158
Al  0.305  0.844  0.844
Al  0.193  0.158  0.158
Al  0.695  0.844  0.844
Cu  0.000  0.719  0.719
Cu  0.500  0.279  0.279
Gd  0.000  0.442  0.442
Nd  0.500  0.558  0.558

Summary:
Electronic total energy = -35.2 eV for the cell shown